(1)
A plane-wave DFT calculation with GGA-PBEsol was carried out for a relaxed structure of Zr3Ta.

Cell lengths 2.949, 5.747, 5.747 Å; angles 117.14, 99.85, 99.85 degrees
Atoms (fractional coordinates):
Zr (0.500, 0.000, 0.500)
Zr (0.500, 0.500, 0.000)
Zr (0.000, 0.500, 0.500)
Ta (0.000, 0.000, 0.000)

The crystal system is trigonal. For the formation energy from the elements, the calculation gives 0.14 eV per atom. The polymorph energy (0 for the lowest one) is 10 kJ/mol of formula units.

***

(2)
A plane-wave DFT calculation with GGA-PBEsol was carried out for a relaxed structure of KScIr2.

Cell lengths 3.268, 4.682, 4.682 Å; angles 90.00, 90.00, 90.00 degrees
Atoms (fractional coordinates):
Ir (0.000, 0.000, 0.500)
Ir (0.000, 0.500, 0.000)
Sc (0.500, 0.000, 0.000)
K (0.500, 0.500, 0.500)

The crystal system is tetragonal. For the formation energy from the elements, the calculation gives 0.59 eV per atom.

***

(3)
A plane-wave DFT calculation with GGA-PBEsol was carried out for a relaxed structure of Sr2Hg.

Cell lengths 6.655, 6.655, 6.655 Å; angles 107.48, 107.48, 113.53 degrees
Atoms (fractional coordinates):
Sr (0.820, 0.680, 0.500)
Sr (0.320, 0.820, 0.141)
Sr (0.180, 0.320, 0.500)
Sr (0.680, 0.180, 0.859)
Hg (0.750, 0.750, 0.000)
Hg (0.250, 0.250, 0.000)

The crystal system is tetragonal. For the formation energy from the elements, the calculation gives -0.39 eV per atom.

***

(4)
A plane-wave DFT calculation with GGA-PBEsol was carried out for a relaxed structure of SrI3Br.

Cell lengths 5.929, 5.929, 5.929 Å; angles 90.00, 90.00, 90.00 degrees
Atoms (fractional coordinates):
Br (0.000, 0.000, 0.000)
I (0.000, 0.500, 0.000)
I (0.500, 0.000, 0.000)
I (0.000, 0.000, 0.500)
Sr (0.500, 0.500, 0.500)

The crystal system is cubic. The total energy comes out at -2.223 eV/atom.

***

(5)
A plane-wave DFT calculation with GGA-PBEsol was carried out for a relaxed structure of MgZn2P2O8.

Cell lengths 5.062, 7.609, 8.313 Å; angles 90.00, 90.00, 95.18 degrees
Atoms (fractional coordinates):
O (0.314, 0.626, 0.697)
O (0.945, 0.759, 0.861)
O (0.061, 0.861, 0.577)
O (0.439, 0.639, 0.077)
O (0.555, 0.741, 0.361)
O (0.561, 0.361, 0.923)
O (0.673, 0.942, 0.134)
O (0.055, 0.241, 0.139)
O (0.939, 0.139, 0.423)
O (0.445, 0.259, 0.639)
O (0.186, 0.874, 0.197)
O (0.173, 0.442, 0.366)
O (0.686, 0.374, 0.303)
O (0.814, 0.126, 0.803)
O (0.827, 0.558, 0.634)
O (0.327, 0.058, 0.866)
P (0.040, 0.700, 0.693)
P (0.540, 0.200, 0.807)
P (0.960, 0.300, 0.307)
P (0.460, 0.800, 0.193)
Zn (0.410, 0.383, 0.140)
Zn (0.090, 0.117, 0.640)
Zn (0.910, 0.883, 0.360)
Zn (0.590, 0.617, 0.860)
Mg (0.000, 0.000, 0.000)
Mg (0.500, 0.500, 0.500)

The crystal system is monoclinic. The total energy comes out at -6.681 eV/atom.

***

(6)
A plane-wave DFT calculation with GGA-PBEsol was carried out for a relaxed structure of Tl2AgSb2.

Cell lengths 5.373, 7.182, 7.182 Å; angles 90.00, 90.00, 90.00 degrees
Atoms (fractional coordinates):
Tl (0.500, 0.673, 0.827)
Tl (0.500, 0.827, 0.327)
Tl (0.500, 0.327, 0.173)
Tl (0.500, 0.173, 0.673)
Sb (0.000, 0.142, 0.358)
Sb (0.000, 0.858, 0.642)
Sb (0.000, 0.642, 0.142)
Sb (0.000, 0.358, 0.858)
Ag (0.000, 0.000, 0.000)
Ag (0.000, 0.500, 0.500)

The crystal system is tetragonal. The total energy comes out at -3.479 eV/atom.

***

(7)
A plane-wave DFT calculation with GGA-PBEsol was carried out for a relaxed structure of MnHg2Rh.

Cell lengths 4.002, 4.002, 5.021 Å; angles 113.49, 113.49, 90.00 degrees
Site moments in Bohr magnetons follow the coordinates.
Atoms (fractional coordinates):
Rh (0.250, 0.750, 0.500)  0.36
Hg (0.750, 0.250, 0.500)  0.00
Hg (0.000, 0.000, 0.000)  0.00
Mn (0.500, 0.500, 0.000)  3.85

The crystal system is tetragonal. For the formation energy from the elements, the calculation gives 0.17 eV per atom. The polymorph energy (0 for the lowest one) is 0 kJ/mol of formula units.

***

(8)
A plane-wave DFT calculation with GGA-PBEsol was carried out for a relaxed structure of Tl4GeI6.

Cell lengths 8.922, 8.922, 9.790 Å; angles 90.00, 90.00, 90.00 degrees
Atoms (fractional coordinates):
I (0.000, 0.000, 0.300)
I (0.807, 0.638, 0.500)
I (0.638, 0.193, 0.500)
I (0.862, 0.693, 0.000)
I (0.362, 0.807, 0.500)
I (0.000, 0.000, 0.700)
I (0.500, 0.500, 0.800)
I (0.500, 0.500, 0.200)
I (0.193, 0.362, 0.500)
I (0.307, 0.862, 0.000)
I (0.693, 0.138, 0.000)
I (0.138, 0.307, 0.000)
Tl (0.148, 0.648, 0.250)
Tl (0.852, 0.352, 0.750)
Tl (0.852, 0.352, 0.250)
Tl (0.352, 0.148, 0.250)
Tl (0.148, 0.648, 0.750)
Tl (0.648, 0.852, 0.250)
Tl (0.352, 0.148, 0.750)
Tl (0.648, 0.852, 0.750)
Ge (0.000, 0.000, 0.000)
Ge (0.500, 0.500, 0.500)

The crystal system is tetragonal. The total energy comes out at -2.886 eV/atom.

***

(9)
A plane-wave DFT calculation with GGA-PBEsol was carried out for a relaxed structure of MgNiSb.

Cell lengths 4.245, 4.245, 4.245 Å; angles 60.00, 60.00, 60.00 degrees
Atoms (fractional coordinates):
Mg (0.500, 0.500, 0.500)
Sb (0.000, 0.000, 0.000)
Ni (0.250, 0.250, 0.250)

The crystal system is cubic. The total energy comes out at -4.566 eV/atom.

***

(10)
A plane-wave DFT calculation with GGA-PBEsol was carried out for a relaxed structure of K3TaI.

Cell lengths 6.506, 6.506, 6.506 Å; angles 90.00, 90.00, 90.00 degrees
Site moments in Bohr magnetons follow the coordinates.
Atoms (fractional coordinates):
Ta (0.000, 0.000, 0.000)  2.56
K (0.000, 0.500, 0.000)  0.05
K (0.000, 0.000, 0.500)  0.05
K (0.500, 0.000, 0.000)  0.05
I (0.500, 0.500, 0.500)  0.01

The crystal system is cubic. The total energy comes out at -2.591 eV/atom.

***

(11)
A plane-wave DFT calculation with GGA-PBEsol was carried out for a relaxed structure of LiMoPt2.

Cell lengths 2.689, 4.464, 4.753 Å; angles 90.00, 89.99, 90.00 degrees
Atoms (fractional coordinates):
Pt (0.875, 0.500, 0.319)
Pt (0.875, 0.000, 0.949)
Li (0.375, 0.000, 0.433)
Mo (0.375, 0.500, 0.799)

The crystal system is orthorhombic. For the formation energy from the elements, the calculation gives -0.38 eV per atom. The polymorph energy (0 for the lowest one) is 22 kJ/mol of formula units.

***

(12)
A plane-wave DFT calculation with GGA-PBEsol was carried out for a relaxed structure of RuPtW2.

Cell lengths 2.744, 4.783, 4.783 Å; angles 110.03, 90.00, 90.00 degrees
Atoms (fractional coordinates):
Ru (0.500, 0.500, 0.500)
Pt (0.500, 0.000, 0.000)
W (0.000, 0.000, 0.500)
W (0.000, 0.500, 0.000)

The crystal system is orthorhombic. For the formation energy from the elements, the calculation gives -0.12 eV per atom. The polymorph energy (0 for the lowest one) is 19 kJ/mol of formula units.